VASP calculation (meta-GGA SCAN) on a crystal of Mo7W relaxed with PBEsol.

Output
Its symmetry is R-3m (166).

a = 6.2579 Å, b = 6.2579 Å, c = 6.2579 Å
α = 89.99°, β = 89.99°, γ = 89.99°
Fractional coordinates of all 16 atoms:
Mo: 0.1248 0.1248 0.1248
Mo: 0.1247 0.1247 0.6253
Mo: 0.1247 0.6253 0.1247
Mo: 0.1248 0.6252 0.6252
Mo: 0.3748 0.3748 0.8752
Mo: 0.3748 0.8752 0.3748
Mo: 0.3747 0.8753 0.8753
Mo: 0.6253 0.1247 0.1247
Mo: 0.6252 0.1248 0.6252
Mo: 0.6252 0.6252 0.1248
Mo: 0.8752 0.3748 0.3748
Mo: 0.8753 0.3747 0.8753
Mo: 0.8753 0.8753 0.3747
Mo: 0.8752 0.8752 0.8752
W: 0.3747 0.3747 0.3747
W: 0.6253 0.6253 0.6253

VASP calculation (meta-GGA SCAN) on a crystal of Mo4W relaxed with PBEsol.

Output
Its symmetry is I4/m (87).

a = 7.0028 Å, b = 7.0028 Å, c = 3.1320 Å
α = 90.00°, β = 90.00°, γ = 90.00°
Fractional coordinates of all 10 atoms:
Mo: 0.1003 0.3003 0.0000
Mo: 0.1997 0.6003 0.5000
Mo: 0.3003 0.8997 0.0000
Mo: 0.3997 0.1997 0.5000
Mo: 0.6003 0.8003 0.5000
Mo: 0.6997 0.1003 0.0000
Mo: 0.8003 0.3997 0.5000
Mo: 0.8997 0.6997 0.0000
W: 0.0000 0.0000 0.5000
W: 0.5000 0.5000 0.0000

VASP calculation (meta-GGA SCAN) on a crystal of MoW3 relaxed with PBEsol.

Output
The excess energy over the best structure of this formula in the dataset is 0.0037 eV/atom. Its symmetry is Cmmm (65).

a = 3.1475 Å, b = 4.4438 Å, c = 8.9087 Å
α = 90.00°, β = 90.00°, γ = 90.00°
Fractional coordinates of all 8 atoms:
Mo: 0.0000 0.0000 0.0000
Mo: 0.5000 0.5000 0.0000
W: 0.0000 0.0000 0.5000
W: 0.0000 0.5000 0.2491
W: 0.0000 0.5000 0.7509
W: 0.5000 0.0000 0.2491
W: 0.5000 0.0000 0.7509
W: 0.5000 0.5000 0.5000

VASP calculation (meta-GGA SCAN) on a crystal of Mo2W relaxed with PBEsol.

Output
The excess energy over the best structure of this formula in the dataset is 0.0041 eV/atom. Its symmetry is Fmmm (69).

a = 3.1338 Å, b = 4.4305 Å, c = 13.3127 Å
α = 90.00°, β = 90.00°, γ = 90.00°
Fractional coordinates of all 12 atoms:
Mo: 0.0000 0.0000 0.1670
Mo: 0.0000 0.0000 0.8330
Mo: 0.0000 0.5000 0.3330
Mo: 0.0000 0.5000 0.6670
Mo: 0.5000 0.0000 0.3330
Mo: 0.5000 0.0000 0.6670
Mo: 0.5000 0.5000 0.1670
Mo: 0.5000 0.5000 0.8330
W: 0.0000 0.0000 0.5000
W: 0.0000 0.5000 0.0000
W: 0.5000 0.0000 0.0000
W: 0.5000 0.5000 0.5000

VASP calculation (meta-GGA SCAN) on a crystal of MoW relaxed with PBEsol.

Output
The excess energy over the best structure of this formula in the dataset is 0.0000 eV/atom. Its symmetry is Pm-3m (221).

a = 3.1399 Å, b = 3.1399 Å, c = 3.1399 Å
α = 90.00°, β = 90.00°, γ = 90.00°
Fractional coordinates of all 2 atoms:
Mo: 0.0000 0.0000 0.0000
W: 0.5000 0.5000 0.5000

VASP calculation (meta-GGA SCAN) on a crystal of Mo3W13 relaxed with PBEsol.

Output
Its symmetry is Amm2 (38).

a = 6.2972 Å, b = 6.2977 Å, c = 6.2977 Å
α = 89.99°, β = 90.00°, γ = 90.00°
Fractional coordinates of all 16 atoms:
Mo: 0.0000 0.0000 0.0000
Mo: 0.2498 0.2494 0.2494
Mo: 0.7502 0.2494 0.2494
W: 0.0000 0.0002 0.4990
W: 0.0000 0.4990 0.0002
W: 0.0000 0.4991 0.4991
W: 0.2497 0.2494 0.7499
W: 0.2497 0.7499 0.2494
W: 0.2497 0.7499 0.7499
W: 0.5000 0.0002 0.0002
W: 0.5000 0.0001 0.4991
W: 0.5000 0.4991 0.0001
W: 0.5000 0.4990 0.4990
W: 0.7503 0.2494 0.7499
W: 0.7503 0.7499 0.2494
W: 0.7503 0.7499 0.7499

VASP calculation (meta-GGA SCAN) on a crystal of MoW2 relaxed with PBEsol.

Output
The excess energy over the best structure of this formula in the dataset is 0.0009 eV/atom. Its symmetry is I4/mmm (139).

a = 3.1474 Å, b = 3.1474 Å, c = 9.4151 Å
α = 90.00°, β = 90.00°, γ = 90.00°
Fractional coordinates of all 6 atoms:
Mo: 0.0000 0.0000 0.0000
Mo: 0.5000 0.5000 0.5000
W: 0.0000 0.0000 0.3337
W: 0.0000 0.0000 0.6663
W: 0.5000 0.5000 0.1663
W: 0.5000 0.5000 0.8337

VASP calculation (meta-GGA SCAN) on a crystal of Mo2W relaxed with PBEsol.

Output
The excess energy over the best structure of this formula in the dataset is 0.0000 eV/atom. Its symmetry is Cmcm (63).

a = 3.1358 Å, b = 13.3180 Å, c = 4.4266 Å
α = 90.00°, β = 90.00°, γ = 90.00°
Fractional coordinates of all 12 atoms:
Mo: 0.0000 0.0835 0.2500
Mo: 0.0000 0.2500 0.7500
Mo: 0.0000 0.7500 0.2500
Mo: 0.0000 0.9165 0.7500
Mo: 0.5000 0.2500 0.2500
Mo: 0.5000 0.4165 0.7500
Mo: 0.5000 0.5835 0.2500
Mo: 0.5000 0.7500 0.7500
W: 0.0000 0.4165 0.2500
W: 0.0000 0.5835 0.7500
W: 0.5000 0.0835 0.7500
W: 0.5000 0.9165 0.2500

VASP calculation (meta-GGA SCAN) on a crystal of MoW3 relaxed with PBEsol.

Output
The excess energy over the best structure of this formula in the dataset is 0.0022 eV/atom. Its symmetry is C2/m (12).

a = 9.4361 Å, b = 4.4497 Å, c = 3.1475 Å
α = 90.00°, β = 109.37°, γ = 90.00°
Fractional coordinates of all 8 atoms:
Mo: 0.0000 0.0000 0.0000
Mo: 0.5000 0.5000 0.0000
W: 0.0000 0.5000 0.5000
W: 0.2498 0.0000 0.7499
W: 0.2502 0.5000 0.2501
W: 0.5000 0.0000 0.5000
W: 0.7502 0.0000 0.2501
W: 0.7498 0.5000 0.7499

VASP calculation (meta-GGA SCAN) on a crystal of MoW relaxed with PBEsol.

Output
The excess energy over the best structure of this formula in the dataset is 0.0096 eV/atom. Its symmetry is Cmme (67).

a = 3.1385 Å, b = 4.4374 Å, c = 8.8872 Å
α = 90.00°, β = 90.00°, γ = 90.00°
Fractional coordinates of all 8 atoms:
Mo: 0.0000 0.2500 0.1241
Mo: 0.0000 0.7500 0.8759
Mo: 0.5000 0.2500 0.8759
Mo: 0.5000 0.7500 0.1241
W: 0.0000 0.2500 0.6260
W: 0.0000 0.7500 0.3740
W: 0.5000 0.2500 0.3740
W: 0.5000 0.7500 0.6260

VASP calculation (meta-GGA SCAN) on a crystal of MoW2 relaxed with PBEsol.

Output
The excess energy over the best structure of this formula in the dataset is 1.1264 eV/atom. Its symmetry is Fm-3m (225).

a = 6.0407 Å, b = 6.0407 Å, c = 6.0407 Å
α = 90.00°, β = 90.00°, γ = 90.00°
Fractional coordinates of all 12 atoms:
Mo: 0.0000 0.0000 0.0000
Mo: 0.0000 0.5000 0.5000
Mo: 0.5000 0.0000 0.5000
Mo: 0.5000 0.5000 0.0000
W: 0.2500 0.2500 0.2500
W: 0.2500 0.2500 0.7500
W: 0.2500 0.7500 0.2500
W: 0.2500 0.7500 0.7500
W: 0.7500 0.2500 0.2500
W: 0.7500 0.2500 0.7500
W: 0.7500 0.7500 0.2500
W: 0.7500 0.7500 0.7500

VASP calculation (meta-GGA SCAN) on a crystal of MoW relaxed with PBEsol.

Output
The excess energy over the best structure of this formula in the dataset is 0.0056 eV/atom. Its symmetry is Cm (8).

a = 9.9149 Å, b = 3.1423 Å, c = 6.2854 Å
α = 90.00°, β = 108.51°, γ = 90.00°
Fractional coordinates of all 12 atoms:
Mo: 0.0000 0.0000 0.0000
Mo: 0.0005 0.0000 0.4994
Mo: 0.1667 0.5000 0.3329
Mo: 0.5000 0.5000 0.0000
Mo: 0.5005 0.5000 0.4994
Mo: 0.6667 0.0000 0.3329
W: 0.1665 0.5000 0.8327
W: 0.3334 0.0000 0.1669
W: 0.3339 0.0000 0.6660
W: 0.6665 0.0000 0.8327
W: 0.8334 0.5000 0.1669
W: 0.8339 0.5000 0.6660

Number 1: formation energy from the elements 0.00 eV/atom, calculated volume 15.3 A^3/atom, E_tot -39.235 eV per atom. Number 2: formation energy from the elements 0.00 eV/atom, calculated volume 15.4 A^3/atom, E_tot -41.850 eV per atom. Number 3: formation energy from the elements 0.00 eV/atom, calculated volume 15.6 A^3/atom, E_tot -60.990 eV per atom. Number 4: formation energy from the elements 0.00 eV/atom, calculated volume 15.4 A^3/atom, E_tot -46.489 eV per atom. Number 5: formation energy from the elements -0.01 eV/atom, calculated volume 15.5 A^3/atom, E_tot -52.298 eV per atom. Number 6: formation energy from the elements 0.00 eV/atom, calculated volume 15.6 A^3/atom, E_tot -63.163 eV per atom. Number 7: formation energy from the elements -0.01 eV/atom, calculated volume 15.5 A^3/atom, E_tot -58.092 eV per atom. Number 8: formation energy from the elements -0.01 eV/atom, calculated volume 15.4 A^3/atom, E_tot -46.493 eV per atom. Number 9: formation energy from the elements 0.00 eV/atom, calculated volume 15.6 A^3/atom, E_tot -60.992 eV per atom. Number 10: formation energy from the elements 0.00 eV/atom, calculated volume 15.5 A^3/atom, E_tot -52.288 eV per atom. Number 11: formation energy from the elements 1.12 eV/atom, calculated volume 18.4 A^3/atom, E_tot -56.967 eV per atom. Number 12: formation energy from the elements -0.01 eV/atom, calculated volume 15.5 A^3/atom, E_tot -52.292 eV per atom.